(1)
A plane-wave DFT calculation with PBEsol was carried out for a relaxed Mg2TaPbAu crystal.

Calculated values
Final energy, eV per atom: -3.85
Calculated volume, Å³/f.u.: 127

Cell: 4.8420 4.8420 5.4278 Å, 90.00 90.00 90.00°
Each line ends with the local moment (μB).
Sites, in units of the cell vectors:
Pb (0.0000, 0.0000, 0.5000)  -0.03
Mg (0.0000, 0.5000, 0.0000)  0.00
Mg (0.5000, 0.0000, 0.0000)  0.00
Au (0.0000, 0.0000, 0.0000)  0.01
Ta (0.5000, 0.5000, 0.5000)  1.41

***

(2)
A plane-wave DFT calculation with PBEsol was carried out for a relaxed Sc2FePt crystal.

Calculated values
Final energy, eV per atom: -7.78
Calculated volume, Å³/f.u.: 65

Cell: 3.4087 4.1886 5.3201 Å, 113.17 108.68 90.00°
Each line ends with the local moment (μB).
Sites, in units of the cell vectors:
Fe (0.5069, 0.5068, 0.0138)  1.90
Pt (0.2414, 0.7415, 0.4828)  0.06
Sc (0.9921, 0.9920, 0.9842)  -0.32
Sc (0.7596, 0.2597, 0.5192)  -0.20

***

(3)
A plane-wave DFT calculation with PBEsol was carried out for a relaxed BaSbTe2As crystal.

Calculated values
Final energy, eV per atom: -4.14
Calculated volume, Å³/f.u.: 163
E_form (uncorrected), eV/f.u.: -1.815

Cell: 5.3568 5.5235 5.5235 Å, 90.00 90.00 90.00°
Sites, in units of the cell vectors:
Sb (0.5000, 0.0000, 0.0000)
As (0.0000, 0.0000, 0.0000)
Te (0.0000, 0.0000, 0.5000)
Te (0.0000, 0.5000, 0.0000)
Ba (0.5000, 0.5000, 0.5000)

***

(4)
A plane-wave DFT calculation with PBEsol was carried out for a relaxed BaMgRh crystal.

Calculated values
Final energy, eV per atom: -4.05
Calculated volume, Å³/f.u.: 81

Cell: 4.4983 4.4983 4.6482 Å, 90.00 90.00 120.00°
Sites, in units of the cell vectors:
Ba (0.0000, 0.0000, 0.5000)
Mg (0.3333, 0.6667, 0.0000)
Rh (0.6667, 0.3333, 0.0000)

***

(5)
A plane-wave DFT calculation with PBEsol was carried out for a relaxed LiCuPO4 crystal.

Calculated values
ΔE to the lowest computed polymorph, kJ per mole of atoms: 4.7
Final energy, eV per atom: -6.49
Calculated volume, Å³/f.u.: 74
E_form (uncorrected), eV/f.u.: -12.311

Cell: 7.3079 7.3079 9.6216 Å, 90.00 90.00 120.00°
Each line ends with the local moment (μB).
Sites, in units of the cell vectors:
Li (0.9321, 0.4992, 0.5083)  0.00
Li (0.5008, 0.4330, 0.5083)  0.00
Li (0.5670, 0.0679, 0.5083)  0.00
Li (0.4992, 0.9321, 0.0083)  0.00
Li (0.4330, 0.5008, 0.0083)  0.00
Li (0.0679, 0.5670, 0.0083)  0.00
Cu (0.7710, 0.7201, 0.7259)  0.58
Cu (0.9492, 0.2290, 0.7259)  0.58
Cu (0.7201, 0.7710, 0.2259)  0.58
Cu (0.2799, 0.0508, 0.7259)  0.58
Cu (0.2290, 0.9492, 0.2259)  0.58
Cu (0.0508, 0.2799, 0.2259)  0.58
P (0.6667, 0.3333, 0.8294)  0.00
P (0.0000, 0.0000, 0.9918)  0.00
P (0.0000, 0.0000, 0.4918)  0.00
P (0.6667, 0.3333, 0.2286)  0.00
P (0.3333, 0.6667, 0.3294)  0.00
P (0.3333, 0.6667, 0.7286)  0.00
O (0.9028, 0.7704, 0.5441)  0.06
O (0.6944, 0.5455, 0.8866)  0.10
O (0.5888, 0.4799, 0.1690)  0.12
O (0.8911, 0.4112, 0.1690)  0.12
O (0.8510, 0.3056, 0.8866)  0.10
O (0.6667, 0.3333, 0.6693)  0.06
O (0.0000, 0.0000, 0.8245)  0.11
O (0.0000, 0.0000, 0.3245)  0.11
O (0.6667, 0.3333, 0.3880)  0.01
O (0.8677, 0.0972, 0.5441)  0.06
O (0.7704, 0.9028, 0.0441)  0.06
O (0.4545, 0.1490, 0.8866)  0.10
O (0.5201, 0.1089, 0.1690)  0.12
O (0.2296, 0.1323, 0.5441)  0.06
O (0.5455, 0.6944, 0.3866)  0.10
O (0.4799, 0.5888, 0.6690)  0.12
O (0.4112, 0.8911, 0.6690)  0.12
O (0.3056, 0.8510, 0.3866)  0.10
O (0.3333, 0.6667, 0.1693)  0.06
O (0.3333, 0.6667, 0.8880)  0.01
O (0.0972, 0.8677, 0.0441)  0.06
O (0.1490, 0.4545, 0.3866)  0.10
O (0.1089, 0.5201, 0.6690)  0.12
O (0.1323, 0.2296, 0.0441)  0.06

***

(6)
A plane-wave DFT calculation with PBEsol was carried out for a relaxed LiTa2 crystal.

Calculated values
Final energy, eV per atom: -8.55
Calculated volume, Å³/f.u.: 48

Cell: 3.3287 3.3287 4.9141 Å, 109.80 109.80 90.00°
Sites, in units of the cell vectors:
Li (0.0000, 0.0000, 0.0000)
Ta (0.6643, 0.6643, 0.3286)
Ta (0.3357, 0.3357, 0.6714)